Material: CrCd2GaAu
Method: DFT, PBE-GGA
State: relaxed

Calculated values
SG   P4/mmm, No. 123
Energy   -2.916 eV per atom
Formation energy from the elements   0.6356 eV per atom

Lattice parameters (Å, degrees): 4.9874 4.9024 4.9874 90.00 90.00 90.00
Each line ends with the local moment (μB).
Fractional coordinates of all 5 atoms:
1 Cr 0.0000 0.5000 0.0000  3.77
2 Au 0.5000 0.5000 0.5000  -0.04
3 Ga 0.0000 0.0000 0.0000  -0.04
4 Cd 0.0000 0.0000 0.5000  -0.01
5 Cd 0.5000 0.0000 0.0000  0.00

---

Material: Ce3PmPr2Bi6
Method: DFT, PBE-GGA
State: relaxed

Calculated values
SG   C2/m, No. 12
Energy   -5.493 eV per atom
Formation energy from the elements   -0.8764 eV per atom

Lattice parameters (Å, degrees): 7.9868 7.9868 7.9891 99.59 99.59 120.00
Each line ends with the local moment (μB).
Fractional coordinates of all 12 atoms:
1 Ce 0.1676 0.8324 0.5000  0.81
2 Ce 0.8324 0.1676 0.5000  0.81
3 Ce 0.5000 0.5000 0.5000  0.81
4 Pm 0.0000 0.0000 0.0000  0.00
5 Pr 0.3336 0.6664 0.0000  0.00
6 Pr 0.6664 0.3336 0.0000  0.00
7 Bi 0.9159 0.5846 0.7473  -0.02
8 Bi 0.7535 0.7535 0.2538  -0.02
9 Bi 0.0841 0.4154 0.2527  -0.02
10 Bi 0.5846 0.9159 0.7473  -0.02
11 Bi 0.2465 0.2465 0.7462  -0.02
12 Bi 0.4154 0.0841 0.2527  -0.02

---

Question: The highest formation energy from the elements belongs to which entry?
Answer: CrCd2GaAu